ScTaCl2: optimized geometry, PBE.

The distance to the lowest polymorph of the same formula is 1106 meV/atom.

It has space group Cmmm (No. 65), with a = 6.209 Å, b = 7.113 Å, c = 3.059 Å, α = 90.00°, β = 90.00° and γ = 90.00°. The asymmetric unit holds Sc at (0.000, 0.000, 0.000), Ta at (0.000, 0.500, 0.000) and Cl at (0.250, 0.250, 0.500).